1.
A plane-wave DFT calculation with GGA-PBE was carried out for a relaxed Pu3Hg12Pb crystal.

Structure (POSCAR):
```
Pu3Hg12Pb
1.0
4.7070 0.0000 0.0000
0.0000 4.7057 -0.0001
0.0000 0.0010 18.8580
Pu Hg Pb
3 12 1
Direct
0.0000 0.0000 0.2477 Pu
0.0000 0.0000 0.5000 Pu
0.0000 0.0000 0.7523 Pu
0.5000 0.5000 0.0000 Hg
0.5000 0.5000 0.2537 Hg
0.5000 0.5000 0.5000 Hg
0.5000 0.5000 0.7463 Hg
0.5000 0.0000 0.1285 Hg
0.5000 0.0000 0.3755 Hg
0.5000 0.0000 0.6245 Hg
0.5000 0.0000 0.8715 Hg
0.0000 0.5000 0.1285 Hg
0.0000 0.5000 0.3754 Hg
0.0000 0.5000 0.6246 Hg
0.0000 0.5000 0.8715 Hg
0.0000 0.0000 0.0000 Pb
```

Values from the calculation:
**ΔH_f (0 K)**: -0.074 eV per atom

---

2.
A plane-wave DFT calculation with GGA-PBE was carried out for a relaxed PuHgPb crystal.

Structure (POSCAR):
```
PuHgPb
1.0
3.2622 0.0000 0.0000
0.0000 5.3596 0.0000
0.0000 0.0000 9.4214
Pu Hg Pb
2 2 2
Direct
0.5000 0.5000 0.8296 Pu
0.5000 0.5000 0.1704 Pu
0.5000 0.0000 0.6594 Hg
0.5000 0.0000 0.3406 Hg
0.0000 0.0000 0.0000 Pb
0.0000 0.5000 0.5000 Pb
```

Values from the calculation:
**E above lowest polymorph**: 0.20 eV/f.u.
**ΔH_f (0 K)**: -0.031 eV per atom

---

3.
A plane-wave DFT calculation with GGA-PBE was carried out for a relaxed PuHg4Pb crystal.

Structure (POSCAR):
```
PuHg4Pb
1.0
-2.9272 3.0962 2.2784
-3.7539 -2.8081 -1.0065
-0.9348 -4.7055 5.1936
Pu Hg Pb
1 4 1
Direct
0.0000 0.0000 0.0000 Pu
0.0000 0.3270 0.3460 Hg
0.5000 0.1688 0.6624 Hg
0.0000 0.6730 0.6540 Hg
0.5000 0.8312 0.3376 Hg
0.5000 0.5000 0.0000 Pb
```

Values from the calculation:
**E above lowest polymorph**: 0.02 eV/f.u.
**ΔH_f (0 K)**: -0.081 eV per atom

---

4.
A plane-wave DFT calculation with GGA-PBE was carried out for a relaxed Pu2HgPb crystal.

Structure (POSCAR):
```
Pu2HgPb
1.0
-0.5743 -3.2363 -1.0290
1.8523 -2.5831 1.3262
-6.8728 -3.1416 7.9523
Pu Hg Pb
2 1 1
Direct
0.0813 0.0813 0.7561 Pu
0.2520 0.2520 0.2440 Pu
0.6666 0.6666 0.0003 Hg
0.5001 0.5001 0.4997 Pb
```

Values from the calculation:
**ΔH_f (0 K)**: 0.004 eV per atom

---

5.
A plane-wave DFT calculation with GGA-PBE was carried out for a relaxed Pu2Hg8Pb crystal.

Structure (POSCAR):
```
Pu2Hg8Pb
1.0
-1.1407 4.2881 -1.7274
-2.6763 -2.0632 -3.3546
-10.4678 0.4644 8.0656
Pb Hg Pu
1 8 2
Direct
0.0000 0.0000 0.0000 Pb
0.0000 0.5000 0.5000 Hg
0.5000 0.0000 0.5000 Hg
0.5000 0.5000 0.3229 Hg
0.5000 0.5000 0.6771 Hg
0.0000 0.5000 0.1553 Hg
0.5000 0.0000 0.1553 Hg
0.0000 0.5000 0.8447 Hg
0.5000 0.0000 0.8447 Hg
0.0000 0.0000 0.3260 Pu
0.0000 0.0000 0.6740 Pu
```

Values from the calculation:
**ΔH_f (0 K)**: -0.064 eV per atom

---

6.
A plane-wave DFT calculation with GGA-PBE was carried out for a relaxed Pu3Hg4Pb crystal.

Structure (POSCAR):
```
Pu3Hg4Pb
1.0
-1.8819 1.7372 -3.7464
-2.0560 -4.2266 -0.9271
-5.6198 3.9200 7.3891
Pu Hg Pb
3 4 1
Direct
0.0000 0.5000 0.0000 Pu
0.3718 0.3708 0.7436 Pu
0.6282 0.6292 0.2564 Pu
0.7486 0.2493 0.4972 Hg
0.2514 0.7507 0.5028 Hg
0.1281 0.1283 0.2561 Hg
0.8719 0.8717 0.7439 Hg
0.5000 0.0000 0.0000 Pb
```

Values from the calculation:
**ΔH_f (0 K)**: -0.101 eV per atom

---

Calculated VASP energy in order - -0.11831 -0.22583 -0.12087 -0.30003 -0.11857 -0.22379 hartree per atom
Calculated N(E_F) in order - 3.014 2.622 2.308 4.235 2.987 3.507 states/eV/atom